The following is a DFT calculation (PBE-GGA) of an optimized crystal structure of Li3AlSi.

Lattice parameters (Å, degrees): 4.7404 4.7404 4.7404 90.00 90.00 90.00
Closest atoms and distances in Å follow each position.
Fractional positions:
Li  0.0000  0.0000  0.5000  2 Si 2.37
Li  0.0000  0.5000  0.0000  2 Si 2.37
Li  0.5000  0.0000  0.0000  2 Si 2.37
Al  0.5000  0.5000  0.5000  12 Li 3.35
Si  0.0000  0.0000  0.0000  6 Li 2.37

Energy above the most stable polymorph in this dataset (kJ per mole of atoms): 0.0
Electronic total energy (eV per atom): -2.696
E_form (uncorrected) (eV/f.u.): 1.43
Theoretical density (Mg/m³): 1.18
V (Å³/f.u.): 106.52